Entry from the Alexandria database: a geometry-optimized ZrSb2Pt structure (GGA-PBE).

Structure (POSCAR):
```
ZrSb2Pt
1.0
-4.8222 -2.4720 5.4061
-1.1493 -6.4422 -3.9709
-0.5818 -5.8227 2.2375
Sb Zr Pt
4 2 2
Cartesian
-3.4838 -3.8986 3.6445 Sb
-1.2857 -5.6984 -1.4493 Sb
-2.6326 -7.4683 2.3652 Sb
-5.7045 -12.4085 2.7851 Sb
-2.9858 -4.4571 0.7176 Zr
-2.3584 -8.3610 -0.5079 Zr
0.0000 0.0000 0.0000 Pt
-4.1949 -6.3759 4.1806 Pt
```

**Symmetry**: I-42d, No. 122
**Raw total energy**: -47.79 eV/cell
**E_form (uncorrected)**: -0.265 eV/atom


Entry from the Alexandria database: a geometry-optimized VIn2Ga structure (GGA-PBE).

Structure (POSCAR):
```
VIn2Ga
1.0
-2.5603 -0.8086 -3.5130
-5.1627 -2.1078 1.4744
-4.5070 5.6987 -0.7892
V Ga In
2 2 4
Cartesian
-5.1358 3.3356 -1.5534 V
-5.1329 0.8411 -0.9837 V
-6.3992 1.7232 -3.0448 Ga
-3.1451 -0.0770 0.5563 Ga
-7.3011 2.4050 0.2342 In
-8.1803 -0.2028 -1.3037 In
-7.5871 4.4087 -2.7891 In
-5.6055 -1.7717 -0.0421 In
```

**Energy of formation from the pure elements**: 7.4 kJ per mole of atoms
**Symmetry**: P1, No. 1
**Raw total energy**: -34.63 eV/cell


Entry from the Alexandria database: a geometry-optimized SrTeAs2Br structure (GGA-PBE).

Structure (POSCAR):
```
SrTeAs2Br
1.0
5.3585 0.0000 0.0000
0.0000 5.3585 0.0000
0.0000 0.0000 5.7087
Sr As Te Br
1 2 1 1
Cartesian
2.6793 2.6793 2.8543 Sr
0.0000 2.6793 0.0000 As
2.6793 0.0000 0.0000 As
0.0000 0.0000 0.0000 Te
0.0000 0.0000 2.8543 Br
```

**Symmetry**: P4/mmm, No. 123
**Raw total energy**: -16.29 eV/cell
**E_form (uncorrected)**: -0.099 eV/atom


Entry from the Alexandria database: a geometry-optimized Rb2CoMoCl6 structure (GGA-PBE).

Structure (POSCAR):
```
Rb2CoMoCl6
1.0
-5.9758 -1.0980 -4.1318
3.5514 -5.2282 -3.7471
-2.6850 -6.2848 -0.9797
Mo Co Rb Cl
1 1 2 6
Cartesian
0.0000 0.0000 0.0000 Mo
-1.2122 -3.1631 -3.9394 Co
-4.9365 -5.2730 -4.5255 Rb
-0.1729 -7.3381 -4.3331 Rb
-1.9188 -4.6607 -2.5196 Cl
-3.1906 -7.9503 -6.3390 Cl
-0.5844 -1.5250 -1.8993 Cl
-1.8399 -4.8012 -5.9796 Cl
-3.6792 -2.0936 -4.0390 Cl
1.2548 -4.2326 -3.8398 Cl
```

**Symmetry**: I4/mmm, No. 139
**Raw total energy**: -41.62 eV/cell
**E_form (uncorrected)**: -1.067 eV/atom


Entry from the Alexandria database: a geometry-optimized ScMn2Ru structure (GGA-PBE).

Structure (POSCAR):
```
ScMn2Ru
1.0
-3.0097 0.7299 1.1179
-1.4791 0.0682 -4.0267
-0.9311 -4.2529 0.2700
Mn Ru Sc
2 1 1
Cartesian
0.0000 0.0000 0.0000 Mn
-2.2444 0.3990 -1.4544 Mn
-1.9704 -1.7615 0.6939 Ru
-1.2051 -2.0923 -1.8783 Sc
```

**Energy of formation from the pure elements**: 4.2 kJ per mole of atoms
**Symmetry**: Pmmm, No. 47
**Raw total energy**: -33.77 eV/cell


Entry from the Alexandria database: a geometry-optimized PaTcPbN4 structure (GGA-PBE).

Structure (POSCAR):
```
PaTcPbN4
1.0
-2.2327 -4.6279 -2.8794
5.2288 -2.1672 -0.5713
0.5191 -0.8686 8.0466
Pa Tc Pb N
2 2 2 8
Cartesian
2.4377 -5.6287 1.1765 Pa
1.0775 -2.0349 3.4194 Pa
3.6737 -2.7496 1.5678 Tc
-0.1585 -4.9140 3.0282 Tc
3.5021 -4.1604 5.3487 Pb
0.0132 -3.5032 -0.7527 Pb
2.8285 -1.9043 5.0564 N
3.2515 -6.8224 -0.7406 N
0.6867 -5.7594 -0.4604 N
0.2638 -0.8412 5.3366 N
3.2025 -3.4800 0.0251 N
0.3128 -4.1836 4.5709 N
3.2319 -4.1200 2.7228 N
0.2833 -3.5436 1.8731 N
```

**Symmetry**: P2_1/m, No. 11
**Raw total energy**: -118.52 eV/cell
**E_form (uncorrected)**: -0.341 eV/atom